<A>
PtWIO2: relaxed, PBE with a Hubbard U.

Symmetry: P4/mmm, No. 123

a = 3.8655 Å, b = 3.8655 Å, c = 7.4138 Å
α = 90.00°, β = 90.00°, γ = 90.00°
Last column: nearest neighbours and their distance in Å.
Atoms (fractional coordinates):
I (0.0000, 0.0000, 0.5000)  4 Pt 2.73
O (0.0000, 0.5000, 0.0000)  2 W 1.93
O (0.5000, 0.0000, 0.0000)  2 W 1.93
W (0.0000, 0.0000, 0.0000)  4 O 1.93
Pt (0.5000, 0.5000, 0.5000)  4 I 2.73


<B>
PtWIO2: relaxed, PBE with a Hubbard U.

Symmetry: P4/mmm, No. 123

a = 3.9648 Å, b = 3.9648 Å, c = 7.3211 Å
α = 90.00°, β = 90.00°, γ = 90.00°
Last column: nearest neighbours and their distance in Å.
Atoms (fractional coordinates):
I (0.0000, 0.0000, 0.5000)  4 W 2.80
O (0.0000, 0.5000, 0.0000)  2 Pt 1.98
O (0.5000, 0.0000, 0.0000)  2 Pt 1.98
W (0.5000, 0.5000, 0.5000)  4 I 2.80
Pt (0.0000, 0.0000, 0.0000)  4 O 1.98


What should be chosen as the least stable of them? Choose <B>.